No. 1
Computed, not measured: a geometry-optimized K4Dy3MnS8 structure at the GGA-PBE level of DFT.

The volume comes out at 401.77 Å³/f.u. The calculation puts the formation energy without anion corrections at -1.58 eV/atom. The calculation puts the density of states at the Fermi level at 10.494 states/eV per cell.

The structure belongs to space group R-3m (No. 166, hexagonal axes); the cell edges are 7.9433, 7.9433 and 22.0572 Å and the angles 90.00°, 90.00° and 120.00°. The inequivalent atoms are K at (0.0000, 0.0000, 0.0000), K at (0.0000, 0.5000, 0.0000), Dy at (0.0000, 0.5000, 0.5000), Mn at (0.0000, 0.0000, 0.5000), S at (0.0000, 0.0000, 0.2348) and S at (0.0181, 0.5090, 0.2314).

No. 2
Computed, not measured: a geometry-optimized K3Dy3MnS8 structure at the GGA-PBE level of DFT.

The volume comes out at 398.14 Å³/f.u. The calculation puts the formation energy without anion corrections at -1.55 eV/atom.

The structure belongs to space group R-3m (No. 166, hexagonal axes); the cell edges are 7.8304, 7.8304 and 22.4932 Å and the angles 90.00°, 90.00° and 120.00°. The inequivalent atoms are K at (0.0000, 0.5000, 0.0000), Dy at (0.0000, 0.5000, 0.5000), Mn at (0.0000, 0.0000, 0.5000), S at (0.0000, 0.0000, 0.2343) and S at (0.0345, 0.5173, 0.2281).

No. 3
Computed, not measured: a geometry-optimized K2Dy2MnS6 structure at the GGA-PBE level of DFT.

The volume comes out at 287.34 Å³/f.u. The calculation puts the formation energy without anion corrections at -1.44 eV/atom.

The structure belongs to space group C2/m (No. 12); the cell edges are 6.701, 11.411 and 7.861 Å and the angles 90.00°, 107.05° and 90.00°. The inequivalent atoms are K at (0.000, 0.172, 0.000), Dy at (0.000, 0.333, 0.500), Mn at (0.000, 0.000, 0.500), S at (0.216, 0.149, 0.689) and S at (0.230, 0.000, 0.314).

No. 4
Computed, not measured: a geometry-optimized K4Dy3MnSe8 structure at the GGA-PBE level of DFT.

The volume comes out at 455.63 Å³/f.u. The calculation puts the formation energy without anion corrections at -1.47 eV/atom. The calculation puts the density of states at the Fermi level at 9.414 states/eV per cell.

The structure belongs to space group R-3m (No. 166, hexagonal axes); the cell edges are 8.2812, 8.2812 and 23.0140 Å and the angles 90.00°, 90.00° and 120.00°. The inequivalent atoms are K at (0.0000, 0.0000, 0.0000), K at (0.0000, 0.5000, 0.0000), Dy at (0.0000, 0.5000, 0.5000), Mn at (0.0000, 0.0000, 0.5000), Se at (0.0000, 0.0000, 0.2359) and Se at (0.0172, 0.5086, 0.2324).

No. 5
Computed, not measured: a geometry-optimized K2DyMnSe4 structure at the GGA-PBE level of DFT.

The volume comes out at 217.09 Å³/f.u. The calculation puts the formation energy without anion corrections at -1.15 eV/atom. The calculation puts the density of states at the Fermi level at 13.586 states/eV per cell.

The structure belongs to space group Imma (No. 74); the cell edges are 8.411, 8.561 and 12.059 Å and the angles 90.00°, 90.00° and 90.00°. The inequivalent atoms are K at (0.000, 0.000, 0.000), K at (0.250, 0.250, 0.250), Dy at (0.000, 0.000, 0.500), Mn at (0.250, 0.250, 0.750), Se at (0.000, 0.050, 0.739) and Se at (0.227, 0.250, 0.521).

No. 6
Computed, not measured: a geometry-optimized K3Dy2MnTe6 structure at the GGA-PBE level of DFT.

The volume comes out at 414.44 Å³/f.u. The calculation puts the formation energy without anion corrections at -1.05 eV/atom. The calculation puts the density of states at the Fermi level at 13.021 states/eV per cell.

The structure belongs to space group C2/m (No. 12); the cell edges are 7.626, 13.225 and 8.609 Å and the angles 90.00°, 107.30° and 90.00°. The inequivalent atoms are K at (0.000, 0.000, 0.000), K at (0.000, 0.329, 0.000), Dy at (0.000, 0.166, 0.500), Mn at (0.000, 0.500, 0.500), Te at (0.223, 0.343, 0.700) and Te at (0.246, 0.500, 0.299).

No. 7
Computed, not measured: a geometry-optimized K2DyMnTe4 structure at the GGA-PBE level of DFT.

The volume comes out at 269.97 Å³/f.u. The calculation puts the formation energy without anion corrections at -0.86 eV/atom. The calculation puts the density of states at the Fermi level at 6.733 states/eV per cell.

The structure belongs to space group Imma (No. 74); the cell edges are 8.924, 9.142 and 13.236 Å and the angles 90.00°, 90.00° and 90.00°. The inequivalent atoms are K at (0.000, 0.000, 0.000), K at (0.250, 0.250, 0.250), Dy at (0.000, 0.000, 0.500), Mn at (0.250, 0.250, 0.750), Te at (0.000, 0.057, 0.739) and Te at (0.228, 0.250, 0.510).

No. 8
Computed, not measured: a geometry-optimized KDy2MnTe4 structure at the GGA-PBE level of DFT.

The volume comes out at 257.05 Å³/f.u. The calculation puts the formation energy without anion corrections at -1.06 eV/atom. The calculation puts the density of states at the Fermi level at 14.012 states/eV per cell.

The structure belongs to space group Cmcm (No. 63); the cell edges are 4.391, 15.119 and 15.487 Å and the angles 90.00°, 90.00° and 90.00°. The inequivalent atoms are K at (0.000, 0.115, 0.250), Dy at (0.000, 0.368, 0.063), Mn at (0.000, 0.163, 0.750), Te at (0.000, 0.000, 0.000), Te at (0.000, 0.268, 0.611) and Te at (0.000, 0.441, 0.250).